# 1
Here is a geometry-optimized PmHo5Sc3 structure from Alexandria via LeMat-Bulk. Energies are from GGA-PBE.

It has space group C2/m (No. 12), with a = 14.5555 Å, b = 11.1220 Å, c = 9.5712 Å, α = 90.00°, β = 129.86° and γ = 90.00°. The inequivalent atoms are Pm at (0.2462, 0.0000, 0.0906), Ho at (0.0000, 0.2425, 0.5000), Ho at (0.1346, 0.2480, 0.2432), Ho at (0.2194, 0.5000, 0.5370), Ho at (0.2238, 0.0000, 0.7308), Sc at (0.0000, 0.0000, 0.0000), Sc at (0.0000, 0.5000, 0.5000), Sc at (0.0096, 0.0000, 0.3178) and Sc at (0.0192, 0.5000, 0.8637).

Its formation energy is 0.467 eV/atom. The value obtained for the total energy is -4.715 eV/atom.

# 2
Here is a geometry-optimized Pm2Ho5Sc structure from Alexandria via LeMat-Bulk. Energies are from GGA-PBE.

It has space group Pbam (No. 55), with a = 7.0512 Å, b = 14.1100 Å, c = 4.9706 Å, α = 90.00°, β = 90.00° and γ = 90.00°. The inequivalent atoms are Pm at (0.2466, 0.1235, 0.0000), Ho at (0.0000, 0.5000, 0.5000), Ho at (0.0024, 0.7520, 0.5000), Ho at (0.2491, 0.3760, 0.0000) and Sc at (0.0000, 0.0000, 0.5000).

Its formation energy is 0.033 eV/atom. The value obtained for the total energy is -4.808 eV/atom. The offset from the most stable computed form comes out at 0.0 kJ per mole of atoms.

# 3
Here is a geometry-optimized Pm8HoSc4 structure from Alexandria via LeMat-Bulk. Energies are from GGA-PBE.

It has space group R-3m (No. 166, hexagonal axes), with a = 6.9941 Å, b = 6.9941 Å, c = 28.9811 Å, α = 90.00°, β = 90.00° and γ = 120.00°. The inequivalent atoms are Pm at (0.0000, 0.0000, 0.2114), Pm at (0.0208, 0.5104, 0.7582), Ho at (0.0000, 0.0000, 0.5000), Sc at (0.0000, 0.0000, 0.0000) and Sc at (0.0000, 0.5000, 0.0000).

Its formation energy is 0.241 eV/atom. The value obtained for the total energy is -4.983 eV/atom.

no.,magnetic moment (μB per formula unit)
1,0.00
2,0.00
3,0.00